# 1
Crystalline Ta4NiPt at its relaxed geometry, computed with GGA-PBE.

Lattice parameters (Å, degrees): 7.5208 7.5208 7.5208 90.00 90.00 90.00
Space group F-43m (No. 216)
Asymmetric unit:
Ta  0.1247  0.1247  0.1247 (multiplicity 16)
Ni  0.2500  0.2500  0.7500 (multiplicity 4)
Pt  0.0000  0.0000  0.5000 (multiplicity 4)

---

# 2
Crystalline TaNiPt at its relaxed geometry, computed with GGA-PBE.

Lattice parameters (Å, degrees): 5.9713 5.9713 5.9713 90.00 90.00 90.00
Space group F-43m (No. 216)
Asymmetric unit:
Ta  0.0000  0.0000  0.0000 (multiplicity 4)
Ni  0.2500  0.2500  0.2500 (multiplicity 4)
Pt  0.2500  0.2500  0.7500 (multiplicity 4)

---

# 3
Crystalline TaNi2Pt3 at its relaxed geometry, computed with GGA-PBE.

Lattice parameters (Å, degrees): 3.9460 11.8374 7.4661 90.00 90.00 90.00
Space group Cmmm (No. 65)
Asymmetric unit:
Ta  0.0000  0.1492  0.0000 (multiplicity 4)
Ni  0.0000  0.1776  0.5000 (multiplicity 4)
Ni  0.0000  0.5000  0.0000 (multiplicity 2)
Ni  0.0000  0.5000  0.5000 (multiplicity 2)
Pt  0.0000  0.0000  0.2704 (multiplicity 4)
Pt  0.0000  0.3336  0.2475 (multiplicity 8)

---

# 4
Crystalline TaNi2Pt at its relaxed geometry, computed with GGA-PBE.

Lattice parameters (Å, degrees): 2.7603 2.7603 25.7975 90.00 90.00 120.00
Space group R-3m (No. 166, hexagonal axes)
Asymmetric unit:
Ta  0.0000  0.0000  0.0000 (multiplicity 3)
Ni  0.0000  0.0000  0.2507 (multiplicity 6)
Pt  0.0000  0.0000  0.5000 (multiplicity 3)

---

# 5
Crystalline TaNi8Pt5 at its relaxed geometry, computed with GGA-PBE.

Lattice parameters (Å, degrees): 7.2698 7.2698 7.3450 90.00 90.00 90.00
Space group I-4 (No. 82)
Asymmetric unit:
Ta  0.0000  0.0000  0.0000 (multiplicity 2)
Ni  0.0637  0.1610  0.6735 (multiplicity 8)
Ni  0.1090  0.3163  0.9984 (multiplicity 8)
Pt  0.0000  0.5000  0.7500 (multiplicity 2)
Pt  0.1144  0.2884  0.3358 (multiplicity 8)

---

# 6
Crystalline TaNi6Pt12 at its relaxed geometry, computed with GGA-PBE.

Lattice parameters (Å, degrees): 10.7216 10.7216 8.8752 90.00 90.00 120.00
Space group R-3 (No. 148, hexagonal axes)
Asymmetric unit:
Ta  0.0000  0.0000  0.0000 (multiplicity 3)
Ni  0.0277  0.8867  0.7137 (multiplicity 18)
Pt  0.0584  0.5916  0.6223 (multiplicity 18)
Pt  0.0621  0.5847  0.1194 (multiplicity 18)

---

# 7
Crystalline TaNiPt at its relaxed geometry, computed with GGA-PBE.

Lattice parameters (Å, degrees): 2.8709 2.8709 10.8025 90.00 90.00 90.00
Space group I4mm (No. 107)
Asymmetric unit:
Ta  0.0000  0.0000  0.0000 (multiplicity 2)
Ni  0.0000  0.0000  0.3438 (multiplicity 2)
Pt  0.0000  0.0000  0.6795 (multiplicity 2)

---

# 8
Crystalline TaNi3Pt at its relaxed geometry, computed with GGA-PBE.

Lattice parameters (Å, degrees): 4.5786 4.7976 6.4920 90.00 110.01 90.00
Space group P2_1/m (No. 11)
Asymmetric unit:
Ta  0.0660  0.2500  0.3367 (multiplicity 2)
Ni  0.3400  0.7500  0.4618 (multiplicity 2)
Ni  0.4764  0.0018  0.8002 (multiplicity 4)
Pt  0.0583  0.2500  0.9100 (multiplicity 2)

---

These records have energy of formation values of 0.354, -0.027, -0.399, -0.048, 0.059, 0.043, -0.374, -0.268 eV/atom, in the order they appear.